#a
VASP calculation (PBE) on crystalline NdY7Tm12 at its relaxed geometry.

```
data_NdY7Tm12
_cell_length_a 11.9611
_cell_length_b 11.9611
_cell_length_c 15.6709
_cell_angle_alpha 90.00
_cell_angle_beta 90.00
_cell_angle_gamma 120.00
_symmetry_space_group_name_H-M 'R -3'
_symmetry_Int_Tables_number 148
_symmetry_space_group_name_Hall '-R 3'
loop_
_atom_site_label
_atom_site_type_symbol
_atom_site_fract_x
_atom_site_fract_y
_atom_site_fract_z
Nd1 Nd 0.0000 0.0000 0.0000
Y1 Y 0.0000 0.0000 0.5000
Y2 Y 0.0501 0.4637 0.5842
Tm1 Tm 0.0225 0.5722 0.2152
Tm2 Tm 0.0509 0.8616 0.2966
```

#b
VASP calculation (PBE) on crystalline NdY7Tm12 at its relaxed geometry.

```
data_NdY7Tm12
_cell_length_a 11.1512
_cell_length_b 11.1512
_cell_length_c 11.1512
_cell_angle_alpha 90.00
_cell_angle_beta 90.00
_cell_angle_gamma 90.00
_symmetry_space_group_name_H-M 'I m -3'
_symmetry_Int_Tables_number 204
_symmetry_space_group_name_Hall '-I 2 2 3'
loop_
_atom_site_label
_atom_site_type_symbol
_atom_site_fract_x
_atom_site_fract_y
_atom_site_fract_z
Nd1 Nd 0.0000 0.0000 0.0000
Y1 Y 0.0000 0.0000 0.5000
Y2 Y 0.2500 0.2500 0.2500
Tm1 Tm 0.0000 0.2549 0.2556
```

Taking the most stable structure as the zero point, the relative energies in eV/atom are #a 0.000; #b 0.493.

#a
VASP calculation (PBE) on crystalline NdY5Tm2 at its relaxed geometry.

```
data_NdY5Tm2
_cell_length_a 7.1340
_cell_length_b 14.2763
_cell_length_c 5.0243
_cell_angle_alpha 90.00
_cell_angle_beta 90.00
_cell_angle_gamma 90.00
_symmetry_space_group_name_H-M 'P b a m'
_symmetry_Int_Tables_number 55
loop_
_symmetry_equiv_pos_as_xyz
'x,y,z'
'-x,-y,-z'
'-x,-y,z'
'x,y,-z'
'x+1/2,-y+1/2,-z'
'-x+1/2,y+1/2,z'
'-x+1/2,y+1/2,-z'
'x+1/2,-y+1/2,z'
loop_
_atom_site_label
_atom_site_type_symbol
_atom_site_fract_x
_atom_site_fract_y
_atom_site_fract_z
Nd1 Nd 0.0000 0.0000 0.0000
Y1 Y 0.0000 0.5000 0.0000
Y2 Y 0.0015 0.2505 0.0000
Y3 Y 0.2488 0.6255 0.5000
Tm1 Tm 0.2492 0.8745 0.5000
```

#b
VASP calculation (PBE) on crystalline NdY5Tm2 at its relaxed geometry.

```
data_NdY5Tm2
_cell_length_a 5.7485
_cell_length_b 11.2756
_cell_length_c 8.5047
_cell_angle_alpha 90.00
_cell_angle_beta 106.30
_cell_angle_gamma 90.00
_symmetry_space_group_name_H-M 'P 1 21/m 1'
_symmetry_Int_Tables_number 11
loop_
_symmetry_equiv_pos_as_xyz
'x,y,z'
'-x,-y,-z'
'-x,y+1/2,-z'
'x,-y+1/2,z'
loop_
_atom_site_label
_atom_site_type_symbol
_atom_site_fract_x
_atom_site_fract_y
_atom_site_fract_z
Nd1 Nd 0.0059 0.2500 0.1550
Y1 Y 0.1612 0.5768 0.2074
Y2 Y 0.2725 0.2500 0.5858
Y3 Y 0.3018 0.5761 0.6209
Tm1 Tm 0.3958 0.1176 0.9668
```

Taking the most stable structure as the zero point, the relative energies in eV/atom are #a 0.000; #b 0.141.

#a
VASP calculation (PBE) on crystalline NdY3Tm5 at its relaxed geometry.

```
data_NdY3Tm5
_cell_length_a 15.1896
_cell_length_b 11.2252
_cell_length_c 10.0189
_cell_angle_alpha 90.00
_cell_angle_beta 130.74
_cell_angle_gamma 90.00
_symmetry_space_group_name_H-M 'C 1 2/m 1'
_symmetry_Int_Tables_number 12
loop_
_symmetry_equiv_pos_as_xyz
'x,y,z'
'-x,-y,-z'
'-x,y,-z'
'x,-y,z'
'x+1/2,y+1/2,z'
'-x+1/2,-y+1/2,-z'
'-x+1/2,y+1/2,-z'
'x+1/2,-y+1/2,z'
loop_
_atom_site_label
_atom_site_type_symbol
_atom_site_fract_x
_atom_site_fract_y
_atom_site_fract_z
Nd1 Nd 0.2497 0.0000 0.0969
Y1 Y 0.0000 0.0000 0.0000
Y2 Y 0.0000 0.5000 0.5000
Y3 Y 0.0104 0.0000 0.3124
Y4 Y 0.0226 0.5000 0.8660
Tm1 Tm 0.0000 0.2385 0.5000
Tm2 Tm 0.1540 0.2506 0.2570
Tm3 Tm 0.2186 0.0000 0.7265
Tm4 Tm 0.2227 0.5000 0.5369
```

#b
VASP calculation (PBE) on crystalline NdY3Tm5 at its relaxed geometry.

```
data_NdY3Tm5
_cell_length_a 19.0251
_cell_length_b 6.0148
_cell_length_c 11.3262
_cell_angle_alpha 90.00
_cell_angle_beta 113.79
_cell_angle_gamma 90.00
_symmetry_space_group_name_H-M 'C 1 2/c 1'
_symmetry_Int_Tables_number 15
loop_
_symmetry_equiv_pos_as_xyz
'x,y,z'
'-x,-y,-z'
'-x,y,-z+1/2'
'x,-y,z+1/2'
'x+1/2,y+1/2,z'
'-x+1/2,-y+1/2,-z'
'-x+1/2,y+1/2,-z+1/2'
'x+1/2,-y+1/2,z+1/2'
loop_
_atom_site_label
_atom_site_type_symbol
_atom_site_fract_x
_atom_site_fract_y
_atom_site_fract_z
Nd1 Nd 0.0000 0.0712 0.2500
Y1 Y 0.0000 0.0000 0.0000
Y2 Y 0.1779 0.2357 0.3611
Tm1 Tm 0.0000 0.4297 0.7500
Tm2 Tm 0.1623 0.2584 0.6950
Tm3 Tm 0.1702 0.2501 0.0294
```

Taking the most stable structure as the zero point, the relative energies in eV/atom are #a 0.187; #b 0.000.

#a
VASP calculation (PBE) on crystalline Nd4YTm6 at its relaxed geometry.

```
data_Nd4YTm6
_cell_length_a 7.7066
_cell_length_b 7.7066
_cell_length_c 13.0021
_cell_angle_alpha 90.00
_cell_angle_beta 90.00
_cell_angle_gamma 90.00
_symmetry_space_group_name_H-M 'I -4 2 m'
_symmetry_Int_Tables_number 121
_symmetry_space_group_name_Hall 'I -4 2'
loop_
_atom_site_label
_atom_site_type_symbol
_atom_site_fract_x
_atom_site_fract_y
_atom_site_fract_z
Nd1 Nd 0.1753 0.1753 0.4235
Y1 Y 0.0000 0.0000 0.0000
Tm1 Tm 0.0000 0.5000 0.0000
Tm2 Tm 0.2471 0.2471 0.1817
```

#b
VASP calculation (PBE) on crystalline Nd4YTm6 at its relaxed geometry.

```
data_Nd4YTm6
_cell_length_a 6.6293
_cell_length_b 6.6293
_cell_length_c 16.9799
_cell_angle_alpha 90.00
_cell_angle_beta 90.00
_cell_angle_gamma 90.00
_symmetry_space_group_name_H-M 'I -4 2 m'
_symmetry_Int_Tables_number 121
_symmetry_space_group_name_Hall 'I -4 2'
loop_
_atom_site_label
_atom_site_type_symbol
_atom_site_fract_x
_atom_site_fract_y
_atom_site_fract_z
Nd1 Nd 0.1894 0.1894 0.1760
Y1 Y 0.0000 0.0000 0.0000
Tm1 Tm 0.0000 0.5000 0.0000
Tm2 Tm 0.1781 0.1781 0.3755
```

Taking the most stable structure as the zero point, the relative energies in eV/atom are #a 0.167; #b 0.000.

#a
VASP calculation (PBE) on crystalline NdY4Tm5 at its relaxed geometry.

```
data_NdY4Tm5
_cell_length_a 10.1310
_cell_length_b 10.1310
_cell_length_c 6.3270
_cell_angle_alpha 90.00
_cell_angle_beta 90.00
_cell_angle_gamma 90.00
_symmetry_space_group_name_H-M 'I 4'
_symmetry_Int_Tables_number 79
loop_
_symmetry_equiv_pos_as_xyz
'x,y,z'
'-y,x,z'
'-x,-y,z'
'y,-x,z'
'x+1/2,y+1/2,z+1/2'
'-y+1/2,x+1/2,z+1/2'
'-x+1/2,-y+1/2,z+1/2'
'y+1/2,-x+1/2,z+1/2'
loop_
_atom_site_label
_atom_site_type_symbol
_atom_site_fract_x
_atom_site_fract_y
_atom_site_fract_z
Nd1 Nd 0.0000 0.0000 0.0000
Y1 Y 0.0490 0.3456 0.7707
Tm1 Tm 0.0000 0.0000 0.5449
Tm2 Tm 0.1420 0.2311 0.2745
```

#b
VASP calculation (PBE) on crystalline NdY4Tm5 at its relaxed geometry.

```
data_NdY4Tm5
_cell_length_a 3.5333
_cell_length_b 7.0755
_cell_length_c 12.7686
_cell_angle_alpha 97.87
_cell_angle_beta 97.94
_cell_angle_gamma 90.14
_symmetry_space_group_name_H-M 'P -1'
_symmetry_Int_Tables_number 2
loop_
_symmetry_equiv_pos_as_xyz
'x,y,z'
'-x,-y,-z'
loop_
_atom_site_label
_atom_site_type_symbol
_atom_site_fract_x
_atom_site_fract_y
_atom_site_fract_z
Nd1 Nd 0.0000 0.0000 0.0000
Y1 Y 0.3980 0.6970 0.7966
Y2 Y 0.3986 0.2009 0.7963
Tm1 Tm 0.0000 0.5000 0.0000
Tm2 Tm 0.2016 0.1012 0.4032
Tm3 Tm 0.2017 0.6006 0.4032
```

Taking the most stable structure as the zero point, the relative energies in eV/atom are #a 0.275; #b 0.000.

#a
VASP calculation (PBE) on crystalline Nd4Y5Tm2 at its relaxed geometry.

```
data_Nd4Y5Tm2
_cell_length_a 24.1353
_cell_length_b 3.5566
_cell_length_c 8.6756
_cell_angle_alpha 90.00
_cell_angle_beta 94.64
_cell_angle_gamma 90.00
_symmetry_space_group_name_H-M 'C 1 2/m 1'
_symmetry_Int_Tables_number 12
loop_
_symmetry_equiv_pos_as_xyz
'x,y,z'
'-x,-y,-z'
'-x,y,-z'
'x,-y,z'
'x+1/2,y+1/2,z'
'-x+1/2,-y+1/2,-z'
'-x+1/2,y+1/2,-z'
'x+1/2,-y+1/2,z'
loop_
_atom_site_label
_atom_site_type_symbol
_atom_site_fract_x
_atom_site_fract_y
_atom_site_fract_z
Nd1 Nd 0.0396 0.0000 0.3442
Nd2 Nd 0.2244 0.5000 0.8261
Y1 Y 0.0000 0.5000 0.0000
Y2 Y 0.1299 0.0000 0.0446
Y3 Y 0.1845 0.0000 0.4743
Tm1 Tm 0.0879 0.5000 0.6962
```

#b
VASP calculation (PBE) on crystalline Nd4Y5Tm2 at its relaxed geometry.

```
data_Nd4Y5Tm2
_cell_length_a 23.9262
_cell_length_b 3.5186
_cell_length_c 8.9822
_cell_angle_alpha 90.00
_cell_angle_beta 98.85
_cell_angle_gamma 90.00
_symmetry_space_group_name_H-M 'C 1 2/m 1'
_symmetry_Int_Tables_number 12
loop_
_symmetry_equiv_pos_as_xyz
'x,y,z'
'-x,-y,-z'
'-x,y,-z'
'x,-y,z'
'x+1/2,y+1/2,z'
'-x+1/2,-y+1/2,-z'
'-x+1/2,y+1/2,-z'
'x+1/2,-y+1/2,z'
loop_
_atom_site_label
_atom_site_type_symbol
_atom_site_fract_x
_atom_site_fract_y
_atom_site_fract_z
Nd1 Nd 0.0263 0.0000 0.1871
Nd2 Nd 0.1299 0.5000 0.0349
Y1 Y 0.0000 0.5000 0.5000
Y2 Y 0.1754 0.0000 0.4021
Y3 Y 0.2321 0.0000 0.8234
Tm1 Tm 0.1012 0.0000 0.6995
```

Taking the most stable structure as the zero point, the relative energies in eV/atom are #a 0.000; #b 0.115.

#a
VASP calculation (PBE) on crystalline Nd2Y3Tm7 at its relaxed geometry.

```
data_Nd2Y3Tm7
_cell_length_a 6.3054
_cell_length_b 3.5046
_cell_length_c 17.3430
_cell_angle_alpha 90.00
_cell_angle_beta 96.19
_cell_angle_gamma 90.00
_symmetry_space_group_name_H-M 'P 1 2/m 1'
_symmetry_Int_Tables_number 10
loop_
_symmetry_equiv_pos_as_xyz
'x,y,z'
'-x,-y,-z'
'-x,y,-z'
'x,-y,z'
loop_
_atom_site_label
_atom_site_type_symbol
_atom_site_fract_x
_atom_site_fract_y
_atom_site_fract_z
Nd1 Nd 0.0595 0.0000 0.1742
Y1 Y 0.4514 0.5000 0.8426
Y2 Y 0.5000 0.0000 0.5000
Tm1 Tm 0.0000 0.5000 0.5000
Tm2 Tm 0.2259 0.0000 0.6653
Tm3 Tm 0.2557 0.0000 0.9991
Tm4 Tm 0.2742 0.5000 0.3369
```

#b
VASP calculation (PBE) on crystalline Nd2Y3Tm7 at its relaxed geometry.

```
data_Nd2Y3Tm7
_cell_length_a 5.6494
_cell_length_b 37.4515
_cell_length_c 3.6098
_cell_angle_alpha 90.00
_cell_angle_beta 90.00
_cell_angle_gamma 90.00
_symmetry_space_group_name_H-M 'C m m m'
_symmetry_Int_Tables_number 65
_symmetry_space_group_name_Hall '-C 2 2'
loop_
_atom_site_label
_atom_site_type_symbol
_atom_site_fract_x
_atom_site_fract_y
_atom_site_fract_z
Nd1 Nd 0.0000 0.1465 0.0000
Y1 Y 0.0000 0.3140 0.5000
Y2 Y 0.0000 0.5000 0.5000
Tm1 Tm 0.0000 0.0000 0.0000
Tm2 Tm 0.0000 0.0703 0.5000
Tm3 Tm 0.0000 0.2304 0.0000
Tm4 Tm 0.0000 0.4113 0.0000
```

Taking the most stable structure as the zero point, the relative energies in eV/atom are #a 0.000; #b 0.024.

#a
VASP calculation (PBE) on crystalline NdY5Tm4 at its relaxed geometry.

```
data_NdY5Tm4
_cell_length_a 5.4246
_cell_length_b 7.0310
_cell_length_c 8.7572
_cell_angle_alpha 89.94
_cell_angle_beta 72.03
_cell_angle_gamma 89.94
_symmetry_space_group_name_H-M 'P 1'
_symmetry_Int_Tables_number 1
loop_
_symmetry_equiv_pos_as_xyz
'x,y,z'
loop_
_atom_site_label
_atom_site_type_symbol
_atom_site_fract_x
_atom_site_fract_y
_atom_site_fract_z
Nd1 Nd 0.0000 0.0000 0.0000
Y1 Y 0.1992 0.4952 0.6019
Y2 Y 0.3879 0.7451 0.2237
Y3 Y 0.6092 0.7462 0.7814
Y4 Y 0.7978 0.9985 0.4039
Y5 Y 0.9977 0.4964 0.0043
Tm1 Tm 0.1990 0.9986 0.6022
Tm2 Tm 0.3880 0.2494 0.2235
Tm3 Tm 0.6095 0.2478 0.7814
Tm4 Tm 0.7987 0.4951 0.4020
```

#b
VASP calculation (PBE) on crystalline NdY5Tm4 at its relaxed geometry.

```
data_NdY5Tm4
_cell_length_a 10.1682
_cell_length_b 10.1682
_cell_length_c 6.3224
_cell_angle_alpha 90.00
_cell_angle_beta 90.00
_cell_angle_gamma 90.00
_symmetry_space_group_name_H-M 'I 4'
_symmetry_Int_Tables_number 79
loop_
_symmetry_equiv_pos_as_xyz
'x,y,z'
'-y,x,z'
'-x,-y,z'
'y,-x,z'
'x+1/2,y+1/2,z+1/2'
'-y+1/2,x+1/2,z+1/2'
'-x+1/2,-y+1/2,z+1/2'
'y+1/2,-x+1/2,z+1/2'
loop_
_atom_site_label
_atom_site_type_symbol
_atom_site_fract_x
_atom_site_fract_y
_atom_site_fract_z
Nd1 Nd 0.0000 0.0000 0.0000
Y1 Y 0.0000 0.0000 0.4531
Y2 Y 0.1446 0.7639 0.7282
Tm1 Tm 0.0518 0.6489 0.2302
```

Taking the most stable structure as the zero point, the relative energies in eV/atom are #a 0.000; #b 0.264.

#a
VASP calculation (PBE) on crystalline Nd3YTm2 at its relaxed geometry.

```
data_Nd3YTm2
_cell_length_a 15.0162
_cell_length_b 9.9887
_cell_length_c 5.6610
_cell_angle_alpha 90.00
_cell_angle_beta 90.00
_cell_angle_gamma 90.00
_symmetry_space_group_name_H-M 'C m c m'
_symmetry_Int_Tables_number 63
_symmetry_space_group_name_Hall '-C 2c 2'
loop_
_atom_site_label
_atom_site_type_symbol
_atom_site_fract_x
_atom_site_fract_y
_atom_site_fract_z
Nd1 Nd 0.0000 0.0866 0.2500
Nd2 Nd 0.2439 0.1329 0.2500
Y1 Y 0.0000 0.2740 0.7500
Tm1 Tm 0.1055 0.4023 0.2500
```

#b
VASP calculation (PBE) on crystalline Nd3YTm2 at its relaxed geometry.

```
data_Nd3YTm2
_cell_length_a 9.8627
_cell_length_b 3.4864
_cell_length_c 12.2939
_cell_angle_alpha 90.00
_cell_angle_beta 107.17
_cell_angle_gamma 90.00
_symmetry_space_group_name_H-M 'P 1 21/m 1'
_symmetry_Int_Tables_number 11
loop_
_symmetry_equiv_pos_as_xyz
'x,y,z'
'-x,-y,-z'
'-x,y+1/2,-z'
'x,-y+1/2,z'
loop_
_atom_site_label
_atom_site_type_symbol
_atom_site_fract_x
_atom_site_fract_y
_atom_site_fract_z
Nd1 Nd 0.0750 0.2500 0.3927
Nd2 Nd 0.1212 0.7500 0.1340
Nd3 Nd 0.1979 0.7500 0.8757
Y1 Y 0.3089 0.7500 0.6355
Tm1 Tm 0.3971 0.7500 0.3854
Tm2 Tm 0.4838 0.7500 0.1219
```

Taking the most stable structure as the zero point, the relative energies in eV/atom are #a 0.133; #b 0.000.

#a
VASP calculation (PBE) on crystalline Nd6Y2Tm at its relaxed geometry.

```
data_Nd6Y2Tm
_cell_length_a 16.4995
_cell_length_b 7.0753
_cell_length_c 5.6783
_cell_angle_alpha 90.00
_cell_angle_beta 109.97
_cell_angle_gamma 90.00
_symmetry_space_group_name_H-M 'C 1 2/m 1'
_symmetry_Int_Tables_number 12
loop_
_symmetry_equiv_pos_as_xyz
'x,y,z'
'-x,-y,-z'
'-x,y,-z'
'x,-y,z'
'x+1/2,y+1/2,z'
'-x+1/2,-y+1/2,-z'
'-x+1/2,y+1/2,-z'
'x+1/2,-y+1/2,z'
loop_
_atom_site_label
_atom_site_type_symbol
_atom_site_fract_x
_atom_site_fract_y
_atom_site_fract_z
Nd1 Nd 0.1099 0.2275 0.1107
Nd2 Nd 0.2146 0.0000 0.7147
Y1 Y 0.1311 0.5000 0.6319
Tm1 Tm 0.0000 0.0000 0.5000
```

#b
VASP calculation (PBE) on crystalline Nd6Y2Tm at its relaxed geometry.

```
data_Nd6Y2Tm
_cell_length_a 9.4374
_cell_length_b 17.7336
_cell_length_c 3.6827
_cell_angle_alpha 90.00
_cell_angle_beta 90.00
_cell_angle_gamma 90.00
_symmetry_space_group_name_H-M 'C m m m'
_symmetry_Int_Tables_number 65
_symmetry_space_group_name_Hall '-C 2 2'
loop_
_atom_site_label
_atom_site_type_symbol
_atom_site_fract_x
_atom_site_fract_y
_atom_site_fract_z
Nd1 Nd 0.1748 0.1651 0.0000
Nd2 Nd 0.1862 0.0000 0.5000
Y1 Y 0.0000 0.3251 0.5000
Tm1 Tm 0.0000 0.5000 0.0000
```

Taking the most stable structure as the zero point, the relative energies in eV/atom are #a 0.032; #b 0.000.